Below is a relaxed SrNi2 crystal, with properties calculated at the PBE level.

Lattice parameters (Å, degrees): 10.9018 4.0804 5.8093 90.00 112.99 90.00
Last column: nearest neighbours and their distance in Å.
Atoms (fractional coordinates):
1 Sr 0.1084 0.0000 0.3029  10 Ni 3.02-3.31
2 Sr 0.3916 0.5000 0.6971  10 Ni 3.02-3.31
3 Sr 0.6084 0.5000 0.3029  10 Ni 3.02-3.31
4 Sr 0.8916 0.0000 0.6971  10 Ni 3.02-3.31
5 Ni 0.1018 0.5000 0.6997  4 Ni 2.41-2.51
6 Ni 0.2130 0.0000 0.8921  5 Ni 2.37-2.44
7 Ni 0.2870 0.5000 0.1079  5 Ni 2.37-2.44
8 Ni 0.3982 0.0000 0.3003  4 Ni 2.41-2.51
9 Ni 0.6018 0.0000 0.6997  4 Ni 2.41-2.51
10 Ni 0.7130 0.5000 0.8921  5 Ni 2.37-2.44
11 Ni 0.7870 0.0000 0.1079  5 Ni 2.37-2.44
12 Ni 0.8982 0.5000 0.3003  4 Ni 2.41-2.51

Summary:
Energy of formation ... -1 kJ per mole of atoms
DOS(E_F) ... 16.06 states/eV/cell

---

Below is a relaxed SrNi3 crystal, with properties calculated at the PBE level.

Lattice parameters (Å, degrees): 3.7838 3.7838 5.2338 90.00 90.00 90.00
Last column: nearest neighbours and their distance in Å.
Atoms (fractional coordinates):
1 Sr 0.0000 0.0000 0.0000  12 Ni 3.03-3.30
2 Ni 0.0000 0.5000 0.5168  2 Ni 2.28
3 Ni 0.5000 0.0000 0.5168  2 Ni 2.28
4 Ni 0.5000 0.5000 0.2731  4 Ni 2.28

Summary:
Energy of formation ... 32 kJ per mole of atoms
DOS(E_F) ... 8.00 states/eV/cell

---

Below is a relaxed SrNi crystal, with properties calculated at the PBE level.

Lattice parameters (Å, degrees): 3.9519 3.9519 8.7209 90.00 90.00 120.00
Last column: nearest neighbours and their distance in Å.
Atoms (fractional coordinates):
1 Sr 0.3333 0.6667 0.2122  1 Ni 2.78
2 Sr 0.6667 0.3333 0.7878  1 Ni 2.78
3 Ni 0.3333 0.6667 0.5309  3 Ni 2.34
4 Ni 0.6667 0.3333 0.4691  3 Ni 2.34

Summary:
Energy of formation ... 25 kJ per mole of atoms
DOS(E_F) ... 4.95 states/eV/cell

---

- Which formula does entry 2 have?
  SrNi3